# SmPu2Zn | the Alexandria database | PBE-GGA | relaxed
# Energy of formation = 0.1139 eV/atom
data_SmPu2Zn
_cell_length_a 3.541
_cell_length_b 3.541
_cell_length_c 8.512
_cell_angle_alpha 90.00
_cell_angle_beta 90.00
_cell_angle_gamma 90.00
_space_group_name_H-M_alt 'P 1'
_space_group_IT_number 1
loop_
_space_group_symop_operation_xyz
'x,y,z'
loop_
_atom_site_label
_atom_site_type_symbol
_atom_site_fract_x
_atom_site_fract_y
_atom_site_fract_z
Sm1 Sm 0.500 0.500 0.500
Pu1 Pu 0.000 0.000 0.795
Pu2 Pu 0.000 0.000 0.205
Zn1 Zn 0.500 0.500 0.000